No. 1
Below is an optimized crystal structure of SrPRh2, with properties calculated at the GGA-PBE level.

Cell lengths 4.292, 4.292, 3.760 Å; angles 90.00, 90.00, 90.00 degrees
Sites, in units of the cell vectors:
Sr (0.500, 0.500, 0.500)
P (0.000, 0.000, 0.500)
Rh (0.500, 0.000, 0.000)
Rh (0.000, 0.500, 0.000)

Fermi-level density of states = 2.11 states/eV/cell
total magnetic moment = 0.0 μB/f.u.
VASP energy = -5.520 eV per atom
crystal system = tetragonal
energy relative to the elements = -0.29 eV/f.u.



No. 2
Below is an optimized crystal structure of SrPRh4, with properties calculated at the GGA-PBE level.

Cell lengths 5.297, 5.297, 5.297 Å; angles 60.00, 60.00, 60.00 degrees
Sites, in units of the cell vectors:
Sr (0.750, 0.750, 0.750)
P (0.000, 0.000, 0.000)
Rh (0.879, 0.374, 0.374)
Rh (0.374, 0.374, 0.879)
Rh (0.374, 0.879, 0.374)
Rh (0.374, 0.374, 0.374)

Fermi-level density of states = 10.14 states/eV/cell
total magnetic moment = 0.0 μB/f.u.
VASP energy = -5.935 eV per atom
crystal system = cubic
energy relative to the elements = 0.89 eV/f.u.



No. 3
Below is an optimized crystal structure of Sr4PRh, with properties calculated at the GGA-PBE level.

Cell lengths 6.436, 6.436, 6.436 Å; angles 60.00, 60.00, 60.00 degrees
Sites, in units of the cell vectors:
Sr (0.875, 0.375, 0.375)
Sr (0.375, 0.375, 0.875)
Sr (0.375, 0.875, 0.375)
Sr (0.375, 0.375, 0.375)
P (0.750, 0.750, 0.750)
Rh (0.000, 0.000, 0.000)

Fermi-level density of states = 1.84 states/eV/cell
total magnetic moment = 0.0 μB/f.u.
VASP energy = -2.507 eV per atom
crystal system = cubic
energy relative to the elements = 4.45 eV/f.u.



No. 4
Below is an optimized crystal structure of SrP2Rh, with properties calculated at the GGA-PBE level.

Cell lengths 4.689, 4.689, 5.445 Å; angles 75.27, 75.27, 44.52 degrees
Sites, in units of the cell vectors:
Sr (0.248, 0.248, 0.238)
P (0.031, 0.031, 0.879)
P (0.752, 0.752, 0.735)
Rh (0.469, 0.469, 0.647)

Fermi-level density of states = 1.32 states/eV/cell
total magnetic moment = 0.0 μB/f.u.
VASP energy = -5.467 eV per atom
polymorph energy (0 for the lowest one) = 0.308 eV per atom
crystal system = monoclinic
energy relative to the elements = -2.01 eV/f.u.



No. 5
Below is an optimized crystal structure of SrP3Rh, with properties calculated at the GGA-PBE level.

Cell lengths 4.742, 4.742, 4.742 Å; angles 90.00, 90.00, 90.00 degrees
Sites, in units of the cell vectors:
Sr (0.500, 0.500, 0.500)
Rh (0.000, 0.000, 0.000)
P (0.000, 0.500, 0.000)
P (0.000, 0.000, 0.500)
P (0.500, 0.000, 0.000)

Fermi-level density of states = 5.52 states/eV/cell
total magnetic moment = 0.0 μB/f.u.
VASP energy = -5.108 eV per atom
polymorph energy (0 for the lowest one) = 0.000 eV per atom
crystal system = cubic
energy relative to the elements = -0.28 eV/f.u.



No. 6
Below is an optimized crystal structure of SrPRh, with properties calculated at the GGA-PBE level.

Cell lengths 4.550, 4.550, 4.550 Å; angles 60.00, 60.00, 60.00 degrees
Sites, in units of the cell vectors:
Sr (0.000, 0.000, 0.000)
P (0.500, 0.500, 0.500)
Rh (0.250, 0.250, 0.250)

Fermi-level density of states = 4.14 states/eV/cell
total magnetic moment = 0.0 μB/f.u.
VASP energy = -5.021 eV per atom
crystal system = cubic
energy relative to the elements = -0.62 eV/f.u.



No. 7
Below is an optimized crystal structure of SrPRh2, with properties calculated at the GGA-PBE level.

Cell lengths 3.020, 3.020, 7.608 Å; angles 90.00, 90.00, 90.00 degrees
Sites, in units of the cell vectors:
Sr (0.500, 0.500, 0.000)
P (0.500, 0.500, 0.500)
Rh (0.000, 0.000, 0.679)
Rh (0.000, 0.000, 0.321)

Fermi-level density of states = 2.39 states/eV/cell
total magnetic moment = 0.0 μB/f.u.
VASP energy = -5.667 eV per atom
crystal system = tetragonal
energy relative to the elements = -0.87 eV/f.u.



No. 8
Below is an optimized crystal structure of Sr3P2Rh, with properties calculated at the GGA-PBE level.

Cell lengths 4.266, 12.396, 11.912 Å; angles 90.00, 90.00, 90.00 degrees
Sites, in units of the cell vectors:
Sr (0.250, 0.381, 0.065)
Sr (0.750, 0.619, 0.935)
Sr (0.750, 0.881, 0.435)
Sr (0.250, 0.119, 0.565)
Sr (0.250, 0.698, 0.200)
Sr (0.750, 0.302, 0.800)
Sr (0.750, 0.198, 0.300)
Sr (0.250, 0.802, 0.700)
Sr (0.250, 0.451, 0.381)
Sr (0.750, 0.549, 0.619)
Sr (0.750, 0.951, 0.119)
Sr (0.250, 0.049, 0.881)
P (0.250, 0.688, 0.466)
P (0.750, 0.312, 0.534)
P (0.750, 0.188, 0.034)
P (0.250, 0.812, 0.966)
P (0.250, 0.022, 0.299)
P (0.750, 0.978, 0.701)
P (0.750, 0.522, 0.201)
P (0.250, 0.478, 0.799)
Rh (0.250, 0.142, 0.127)
Rh (0.750, 0.858, 0.873)
Rh (0.750, 0.642, 0.373)
Rh (0.250, 0.358, 0.627)

Fermi-level density of states = 8.26 states/eV/cell
total magnetic moment = 0.0 μB/f.u.
VASP energy = -4.766 eV per atom
crystal system = orthorhombic
energy relative to the elements = -5.38 eV/f.u.



No. 9
Below is an optimized crystal structure of SrPRh2, with properties calculated at the GGA-PBE level.

Cell lengths 3.351, 3.351, 6.606 Å; angles 90.00, 90.00, 90.00 degrees
Sites, in units of the cell vectors:
Sr (0.000, 0.000, 0.501)
P (0.500, 0.500, 0.844)
Rh (0.000, 0.000, 0.958)
Rh (0.500, 0.500, 0.196)

Fermi-level density of states = 2.59 states/eV/cell
total magnetic moment = 0.0 μB/f.u.
VASP energy = -5.712 eV per atom
crystal system = tetragonal
energy relative to the elements = -1.06 eV/f.u.



No. 10
Below is an optimized crystal structure of SrP2Rh, with properties calculated at the GGA-PBE level.

Cell lengths 4.484, 4.484, 9.038 Å; angles 97.11, 97.11, 90.09 degrees
Sites, in units of the cell vectors:
Sr (0.061, 0.914, 0.005)
Sr (0.914, 0.061, 0.505)
P (0.413, 0.571, 0.554)
P (0.571, 0.413, 0.054)
P (0.482, 0.904, 0.744)
P (0.904, 0.482, 0.244)
Rh (0.411, 0.511, 0.300)
Rh (0.511, 0.411, 0.800)

Fermi-level density of states = 2.51 states/eV/cell
total magnetic moment = 0.0 μB/f.u.
VASP energy = -5.743 eV per atom
polymorph energy (0 for the lowest one) = 0.032 eV per atom
crystal system = monoclinic
energy relative to the elements = -3.12 eV/f.u.



No. 11
Below is an optimized crystal structure of SrPRh, with properties calculated at the GGA-PBE level.

Cell lengths 5.854, 5.854, 5.854 Å; angles 146.67, 146.67, 47.85 degrees
Sites, in units of the cell vectors:
Sr (0.663, 0.663, 0.000)
P (0.954, 0.954, 0.000)
Rh (0.382, 0.382, 0.000)

Fermi-level density of states = 1.34 states/eV/cell
total magnetic moment = 0.0 μB/f.u.
VASP energy = -5.355 eV per atom
crystal system = tetragonal
energy relative to the elements = -1.62 eV/f.u.



No. 12
Below is an optimized crystal structure of Sr2P7Rh12, with properties calculated at the GGA-PBE level.

Cell lengths 9.693, 9.693, 3.888 Å; angles 90.00, 90.00, 120.00 degrees
Sites, in units of the cell vectors:
Sr (0.000, 0.000, 0.749)
Sr (0.333, 0.667, 0.255)
P (0.667, 0.333, 0.502)
P (0.068, 0.623, 0.756)
P (0.377, 0.445, 0.756)
P (0.555, 0.932, 0.756)
P (0.266, 0.044, 0.248)
P (0.956, 0.222, 0.248)
P (0.778, 0.734, 0.248)
Rh (0.814, 0.591, 0.750)
Rh (0.409, 0.223, 0.750)
Rh (0.777, 0.186, 0.750)
Rh (0.519, 0.076, 0.253)
Rh (0.924, 0.443, 0.253)
Rh (0.557, 0.481, 0.253)
Rh (0.108, 0.394, 0.753)
Rh (0.606, 0.715, 0.753)
Rh (0.285, 0.892, 0.753)
Rh (0.225, 0.273, 0.251)
Rh (0.727, 0.952, 0.251)
Rh (0.048, 0.775, 0.251)

Fermi-level density of states = 13.58 states/eV/cell
total magnetic moment = 0.0 μB/f.u.
VASP energy = -6.983 eV per atom
crystal system = trigonal
energy relative to the elements = -17.19 eV/f.u.



No. 13
Below is an optimized crystal structure of SrPRh2, with properties calculated at the GGA-PBE level.

Cell lengths 4.040, 4.040, 5.147 Å; angles 89.96, 90.00, 90.00 degrees
Sites, in units of the cell vectors:
Sr (0.000, 0.375, 0.543)
Rh (0.000, 0.875, 0.053)
Rh (0.500, 0.375, 0.053)
P (0.500, 0.875, 0.852)

Fermi-level density of states = 2.76 states/eV/cell
total magnetic moment = 0.0 μB/f.u.
VASP energy = -6.124 eV per atom
crystal system = tetragonal
energy relative to the elements = -2.70 eV/f.u.



No. 14
Below is an optimized crystal structure of SrP2Rh, with properties calculated at the GGA-PBE level.

Cell lengths 4.733, 4.733, 4.733 Å; angles 60.00, 60.00, 60.00 degrees
Sites, in units of the cell vectors:
P (0.000, 0.000, 0.000)
P (0.250, 0.250, 0.250)
Rh (0.500, 0.500, 0.500)
Sr (0.750, 0.750, 0.750)

Fermi-level density of states = 3.34 states/eV/cell
total magnetic moment = 0.0 μB/f.u.
VASP energy = -4.776 eV per atom
polymorph energy (0 for the lowest one) = 0.998 eV per atom
crystal system = cubic
energy relative to the elements = 0.75 eV/f.u.



No. 15
Below is an optimized crystal structure of Sr2P2Rh, with properties calculated at the GGA-PBE level.

Cell lengths 4.039, 6.074, 10.649 Å; angles 75.47, 79.07, 70.58 degrees
Sites, in units of the cell vectors:
Sr (0.591, 0.722, 0.095)
Sr (0.798, 0.762, 0.642)
Sr (0.409, 0.278, 0.905)
Sr (0.202, 0.238, 0.358)
P (0.148, 0.852, 0.852)
P (0.468, 0.653, 0.411)
P (0.852, 0.148, 0.148)
P (0.532, 0.347, 0.589)
Rh (0.933, 0.811, 0.323)
Rh (0.067, 0.189, 0.677)

Fermi-level density of states = 7.34 states/eV/cell
total magnetic moment = 0.0 μB/f.u.
VASP energy = -5.243 eV per atom
polymorph energy (0 for the lowest one) = 0.000 eV per atom
crystal system = monoclinic
energy relative to the elements = -4.68 eV/f.u.



No. 16
Below is an optimized crystal structure of SrP3Rh5, with properties calculated at the GGA-PBE level.

Cell lengths 3.924, 6.401, 12.285 Å; angles 90.00, 90.00, 107.85 degrees
Sites, in units of the cell vectors:
Sr (0.846, 0.691, 0.750)
Sr (0.154, 0.309, 0.250)
P (0.388, 0.777, 0.958)
P (0.888, 0.777, 0.250)
P (0.388, 0.777, 0.542)
P (0.612, 0.223, 0.458)
P (0.112, 0.223, 0.750)
P (0.612, 0.223, 0.042)
Rh (0.792, 0.584, 0.427)
Rh (0.208, 0.416, 0.927)
Rh (0.000, 0.000, 0.500)
Rh (0.000, 0.000, 0.000)
Rh (0.438, 0.877, 0.140)
Rh (0.562, 0.123, 0.860)
Rh (0.562, 0.123, 0.640)
Rh (0.792, 0.584, 0.073)
Rh (0.208, 0.416, 0.573)
Rh (0.438, 0.877, 0.360)

Fermi-level density of states = 6.86 states/eV/cell
total magnetic moment = 0.0 μB/f.u.
VASP energy = -6.851 eV per atom
crystal system = orthorhombic
energy relative to the elements = -6.99 eV/f.u.



No. 17
Below is an optimized crystal structure of SrP2Rh, with properties calculated at the GGA-PBE level.

Cell lengths 3.460, 3.460, 6.298 Å; angles 90.00, 90.00, 90.06 degrees
Sites, in units of the cell vectors:
P (0.000, 0.000, 0.080)
P (0.000, 0.000, 0.420)
Rh (0.500, 0.500, 0.250)
Sr (0.500, 0.500, 0.750)

Fermi-level density of states = 3.01 states/eV/cell
total magnetic moment = 0.0 μB/f.u.
VASP energy = -5.301 eV per atom
polymorph energy (0 for the lowest one) = 0.474 eV per atom
crystal system = tetragonal
energy relative to the elements = -1.35 eV/f.u.



No. 18
Below is an optimized crystal structure of SrPRh2, with properties calculated at the GGA-PBE level.

Cell lengths 4.695, 4.695, 4.695 Å; angles 60.00, 60.00, 60.00 degrees
Sites, in units of the cell vectors:
Sr (0.250, 0.250, 0.250)
P (0.500, 0.500, 0.500)
Rh (0.000, 0.000, 0.000)
Rh (0.750, 0.750, 0.750)

Fermi-level density of states = 5.16 states/eV/cell
total magnetic moment = 1.3 μB/f.u.
VASP energy = -5.273 eV per atom
crystal system = cubic
energy relative to the elements = 0.70 eV/f.u.



No. 19
Below is an optimized crystal structure of SrP2Rh, with properties calculated at the GGA-PBE level.

Cell lengths 7.120, 7.120, 6.150 Å; angles 54.62, 54.62, 90.00 degrees
Sites, in units of the cell vectors:
Sr (0.500, 0.500, 0.000)
Sr (0.250, 0.750, 0.500)
Rh (0.000, 0.000, 0.000)
Rh (0.750, 0.250, 0.500)
P (0.722, 0.125, 0.250)
P (0.028, 0.625, 0.250)
P (0.375, 0.278, 0.750)
P (0.875, 0.972, 0.750)

Fermi-level density of states = 4.89 states/eV/cell
total magnetic moment = 0.0 μB/f.u.
VASP energy = -5.598 eV per atom
polymorph energy (0 for the lowest one) = 0.176 eV per atom
crystal system = tetragonal
energy relative to the elements = -2.54 eV/f.u.



No. 20
Below is an optimized crystal structure of SrP2Rh, with properties calculated at the GGA-PBE level.

Cell lengths 3.372, 3.375, 6.662 Å; angles 90.00, 90.00, 90.00 degrees
Sites, in units of the cell vectors:
P (0.000, 0.000, 0.050)
P (0.500, 0.500, 0.281)
Rh (0.000, 0.000, 0.400)
Sr (0.500, 0.500, 0.770)

Fermi-level density of states = 3.50 states/eV/cell
total magnetic moment = 0.0 μB/f.u.
VASP energy = -5.186 eV per atom
polymorph energy (0 for the lowest one) = 0.588 eV per atom
crystal system = tetragonal
energy relative to the elements = -0.89 eV/f.u.